Compound: MgMoH
Source: the Alexandria database
Functional: PBE-GGA
Structure: relaxed

It has space group Imma (No. 74), with a = 3.3861 Å, b = 4.8242 Å, c = 9.3947 Å, α = 90.00°, β = 90.00° and γ = 90.00°. The asymmetric unit holds Mg at (0.0000, 0.2500, 0.1200), Mo at (0.0000, 0.2500, 0.6526) and H at (0.0000, 0.0000, 0.5000).

The value obtained for the density of states at the Fermi level is 0.372 states/eV per atom. The total energy comes out at -5.1925 eV/atom.